# 1
Material: CrRe
Method: DFT, SCAN
State: single point on PBEsol structure

abc: 2.924 4.947 5.912
angles: 107.21 90.00 107.19
Element x y z (fractional)
Cr 0.359 0.718 0.727
Cr 0.380 0.759 0.218
Cr 0.009 0.019 0.048
Re 0.700 0.400 0.372
Re 0.694 0.387 0.911
Re 0.025 0.050 0.557

Values from the calculation:
For the density of states at the Fermi level, the calculation gives 1.40 states/eV/f.u. For the mass density, the calculation gives 15.3 g/cm3. As for the energy relative to the elements: -0.01 eV per formula unit. Its magnetic moment is 0.000 μB/atom. As for the space-group type: No. 8. For the total energy, the calculation gives -268.47 eV per cell.

---

# 2
Material: CrRe2
Method: DFT, SCAN
State: single point on PBEsol structure

abc: 4.933 9.150 9.150
angles: 90.00 90.00 90.00
Element x y z (fractional)
Cr 0.500 0.373 0.035
Cr 0.000 0.535 0.127
Cr 0.500 0.500 0.500
Cr 0.500 0.035 0.373
Cr 0.000 0.127 0.535
Cr 0.000 0.000 0.000
Cr 0.500 0.965 0.627
Cr 0.000 0.465 0.873
Cr 0.000 0.873 0.465
Cr 0.500 0.627 0.965
Re 0.500 0.437 0.766
Re 0.500 0.105 0.105
Re 0.251 0.819 0.181
Re 0.751 0.681 0.681
Re 0.249 0.319 0.319
Re 0.500 0.895 0.895
Re 0.000 0.266 0.063
Re 0.751 0.319 0.319
Re 0.251 0.181 0.819
Re 0.249 0.681 0.681
Re 0.500 0.234 0.563
Re 0.000 0.063 0.266
Re 0.500 0.766 0.437
Re 0.000 0.395 0.605
Re 0.749 0.181 0.819
Re 0.749 0.819 0.181
Re 0.000 0.605 0.395
Re 0.000 0.734 0.937
Re 0.500 0.563 0.234
Re 0.000 0.937 0.734

Values from the calculation:
For the density of states at the Fermi level, the calculation gives 2.72 states/eV/f.u. For the mass density, the calculation gives 17.1 g/cm3. As for the energy relative to the elements: 0.16 eV per formula unit. Its magnetic moment is 0.000 μB/atom. As for the space-group type: No. 136. For the total energy, the calculation gives -1604.18 eV per cell.

---

# 3
Material: CrRe
Method: DFT, SCAN
State: single point on PBEsol structure

abc: 4.202 4.202 4.202
angles: 60.00 60.00 60.00
Element x y z (fractional)
Cr 0.750 0.750 0.750
Cr 0.500 0.500 0.500
Re 0.000 0.000 0.000
Re 0.250 0.250 0.250

Values from the calculation:
For the density of states at the Fermi level, the calculation gives 1.93 states/eV/f.u. For the mass density, the calculation gives 15.1 g/cm3. As for the energy relative to the elements: 0.02 eV per formula unit. Its magnetic moment is 0.000 μB/atom. As for the space-group type: No. 227. For the total energy, the calculation gives -178.93 eV per cell.

---

# 4
Material: Cr5Re
Method: DFT, SCAN
State: single point on PBEsol structure

abc: 2.866 4.752 5.736
angles: 107.56 90.00 107.55
Element x y z (fractional)
Cr 0.831 0.661 0.673
Cr 0.500 0.000 0.000
Cr 0.170 0.340 0.842
Cr 0.830 0.660 0.158
Cr 0.169 0.339 0.327
Re 0.500 0.000 0.500

Values from the calculation:
For the density of states at the Fermi level, the calculation gives 4.25 states/eV/f.u. For the mass density, the calculation gives 10.5 g/cm3. As for the energy relative to the elements: -0.12 eV per formula unit. Its magnetic moment is 0.000 μB/atom. As for the space-group type: No. 12. For the total energy, the calculation gives -163.14 eV per cell. The value obtained for the distance to the lowest polymorph of the same formula is 0.000 kcal/mol of atoms.

---

# 5
Material: Cr2Re
Method: DFT, SCAN
State: single point on PBEsol structure

abc: 2.569 2.569 6.250
angles: 97.71 97.71 110.30
Element x y z (fractional)
Cr 0.673 0.673 0.346
Cr 0.327 0.327 0.654
Re 0.000 0.000 0.000

Values from the calculation:
For the density of states at the Fermi level, the calculation gives 2.79 states/eV/f.u. For the mass density, the calculation gives 12.8 g/cm3. As for the energy relative to the elements: 0.14 eV per formula unit. Its magnetic moment is 0.000 μB/atom. As for the space-group type: No. 69. For the total energy, the calculation gives -107.72 eV per cell.

---

# 6
Material: Cr2Re
Method: DFT, SCAN
State: single point on PBEsol structure

abc: 2.893 4.816 5.910
angles: 108.27 90.00 107.48
Element x y z (fractional)
Cr 0.165 0.330 0.574
Cr 0.497 0.993 0.270
Cr 0.835 0.670 0.426
Cr 0.503 0.007 0.730
Re 0.838 0.677 0.911
Re 0.162 0.323 0.089

Values from the calculation:
For the density of states at the Fermi level, the calculation gives 2.73 states/eV/f.u. For the mass density, the calculation gives 13.0 g/cm3. As for the energy relative to the elements: -0.03 eV per formula unit. Its magnetic moment is 0.000 μB/atom. As for the space-group type: No. 12. For the total energy, the calculation gives -215.80 eV per cell.

---

# 7
Material: CrRe5
Method: DFT, SCAN
State: single point on PBEsol structure

abc: 2.732 5.191 6.433
angles: 104.65 90.00 105.26
Element x y z (fractional)
Cr 0.000 0.000 0.002
Re 0.719 0.438 0.945
Re 0.055 0.111 0.614
Re 0.337 0.674 0.672
Re 0.664 0.328 0.329
Re 0.391 0.782 0.271

Values from the calculation:
For the density of states at the Fermi level, the calculation gives 5.52 states/eV/f.u. For the mass density, the calculation gives 19.2 g/cm3. As for the energy relative to the elements: 0.58 eV per formula unit. Its magnetic moment is 0.247 μB/atom. As for the space-group type: No. 8. For the total energy, the calculation gives -373.29 eV per cell. The value obtained for the distance to the lowest polymorph of the same formula is 0.146 kcal/mol of atoms.

---

# 8
Material: CrRe5
Method: DFT, SCAN
State: single point on PBEsol structure

abc: 2.731 4.414 7.177
angles: 90.00 100.97 90.00
Element x y z (fractional)
Re 0.664 0.000 0.328
Re 0.778 0.500 0.556
Re 0.337 0.000 0.674
Re 0.109 0.500 0.218
Re 0.447 0.500 0.893
Cr 0.999 0.000 0.997

Values from the calculation:
For the density of states at the Fermi level, the calculation gives 5.75 states/eV/f.u. For the mass density, the calculation gives 19.2 g/cm3. As for the energy relative to the elements: 0.54 eV per formula unit. Its magnetic moment is 0.284 μB/atom. As for the space-group type: No. 38. For the total energy, the calculation gives -373.33 eV per cell. The value obtained for the distance to the lowest polymorph of the same formula is 0.000 kcal/mol of atoms.

---

# 9
Material: CrRe2
Method: DFT, SCAN
State: single point on PBEsol structure

abc: 2.946 3.951 3.951
angles: 90.00 90.00 90.00
Element x y z (fractional)
Re 0.500 0.000 0.500
Re 0.500 0.500 0.000
Cr 0.000 0.000 0.000

Values from the calculation:
For the density of states at the Fermi level, the calculation gives 3.12 states/eV/f.u. For the mass density, the calculation gives 15.3 g/cm3. As for the energy relative to the elements: 2.61 eV per formula unit. Its magnetic moment is 0.000 μB/atom. As for the space-group type: No. 123. For the total energy, the calculation gives -157.97 eV per cell.

---

# 10
Material: Cr4Re3
Method: DFT, SCAN
State: single point on PBEsol structure

abc: 2.899 2.899 10.743
angles: 97.75 97.75 90.00
Element x y z (fractional)
Re 0.292 0.292 0.583
Re 0.000 0.000 0.000
Re 0.708 0.708 0.417
Cr 0.135 0.135 0.269
Cr 0.574 0.574 0.147
Cr 0.865 0.865 0.731
Cr 0.426 0.426 0.853

Values from the calculation:
For the density of states at the Fermi level, the calculation gives 5.79 states/eV/f.u. For the mass density, the calculation gives 14.4 g/cm3. As for the energy relative to the elements: -0.12 eV per formula unit. Its magnetic moment is 0.002 μB/atom. As for the space-group type: No. 139. For the total energy, the calculation gives -286.95 eV per cell.

---

# 11
Material: CrRe2
Method: DFT, SCAN
State: single point on PBEsol structure

abc: 2.884 4.871 6.446
angles: 109.68 90.00 107.22
Element x y z (fractional)
Re 0.518 0.037 0.734
Re 0.164 0.328 0.101
Re 0.836 0.672 0.899
Re 0.482 0.963 0.266
Cr 0.824 0.648 0.441
Cr 0.176 0.352 0.559

Values from the calculation:
For the density of states at the Fermi level, the calculation gives 2.57 states/eV/f.u. For the mass density, the calculation gives 17.4 g/cm3. As for the energy relative to the elements: 0.11 eV per formula unit. Its magnetic moment is 0.000 μB/atom. As for the space-group type: No. 12. For the total energy, the calculation gives -320.95 eV per cell.